Entry 1:
CsTcP | PBE | relaxed

The structure belongs to space group P4/nmm (No. 129, origin choice 2); the cell edges are 4.172, 4.172 and 11.834 Å and the angles 90.00°, 90.00° and 90.00°. The asymmetric unit holds Cs at (0.250, 0.250, 0.227), Tc at (0.250, 0.750, 0.500) and P at (0.250, 0.250, 0.593).

The value obtained for the formation energy is -0.384 eV per atom. The crystal system is tetragonal. The value obtained for the calculated total energy is -35.6 eV per cell.

***

Entry 2:
Mn3HgPb | PBE | relaxed

The structure belongs to space group Pm-3m (No. 221); the cell edges are 5.033, 5.033 and 5.033 Å and the angles 90.00°, 90.00° and 90.00°. The asymmetric unit holds Mn at (0.000, 0.000, 0.500), Hg at (0.000, 0.000, 0.000) and Pb at (0.500, 0.500, 0.500).

The value obtained for the formation energy is 0.948 eV per atom. The crystal system is cubic. The value obtained for the calculated total energy is -26.8 eV per cell.

***

Entry 3:
KMnCr3 | PBE | relaxed

The structure belongs to space group Pm-3m (No. 221); the cell edges are 4.123, 4.123 and 4.123 Å and the angles 90.00°, 90.00° and 90.00°. The asymmetric unit holds K at (0.000, 0.000, 0.000), Mn at (0.500, 0.500, 0.500) and Cr at (0.000, 0.000, 0.500).

The value obtained for the formation energy is 3.068 eV per atom. The crystal system is cubic. The value obtained for the calculated total energy is -23.8 eV per cell.

***

Entry 4:
Rb2OsCl5O | PBE | relaxed

The structure belongs to space group I4mm (No. 107); the cell edges are 7.314, 7.314 and 9.654 Å and the angles 90.00°, 90.00° and 90.00°. The asymmetric unit holds Rb at (0.000, 0.500, 0.000), Os at (0.000, 0.000, 0.263), Cl at (0.000, 0.000, 0.013), Cl at (0.230, 0.230, 0.250) and O at (0.000, 0.000, 0.444).

The crystal system is tetragonal. The value obtained for the calculated total energy is -76.3 eV per cell. The uncorrected formation energy comes out at -1.199 eV per atom.

***

Entry 5:
CsCd2SnPt | PBE | relaxed

The structure belongs to space group P4/mmm (No. 123); the cell edges are 5.431, 5.431 and 5.265 Å and the angles 90.00°, 90.00° and 90.00°. The asymmetric unit holds Cs at (0.000, 0.000, 0.000), Cd at (0.000, 0.500, 0.500), Sn at (0.500, 0.500, 0.000) and Pt at (0.500, 0.500, 0.500).

The value obtained for the formation energy is -0.207 eV per atom. The crystal system is tetragonal. The value obtained for the calculated total energy is -13.8 eV per cell.

***

Entry 6:
Cr4MoBr | PBE | relaxed

The structure belongs to space group F-43m (No. 216); the cell edges are 6.909, 6.909 and 6.909 Å and the angles 90.00°, 90.00° and 90.00°. The asymmetric unit holds Cr at (0.125, 0.125, 0.125), Mo at (0.250, 0.250, 0.750) and Br at (0.000, 0.000, 0.500).

The crystal system is cubic. The value obtained for the calculated total energy is -185.5 eV per cell. The uncorrected formation energy comes out at 0.770 eV per atom.

***

Entry 7:
Zn2CBr | PBE | relaxed

The structure belongs to space group Fm-3m (No. 225); the cell edges are 6.374, 6.374 and 6.374 Å and the angles 90.00°, 90.00° and 90.00°. The asymmetric unit holds Zn at (0.250, 0.250, 0.250), C at (0.000, 0.000, 0.000) and Br at (0.000, 0.000, 0.500).

The crystal system is cubic. The value obtained for the calculated total energy is -29.2 eV per cell. The uncorrected formation energy comes out at 1.538 eV per atom.

***

Entry 8:
CuSnBiSe3 | PBE | relaxed

The structure belongs to space group P2_1/m (No. 11); the cell edges are 8.460, 4.097 and 9.327 Å and the angles 90.00°, 100.51° and 90.00°. The asymmetric unit holds Cu at (0.069, 0.250, 0.075), Sn at (0.165, 0.250, 0.778), Bi at (0.337, 0.750, 0.349), Se at (0.086, 0.250, 0.347), Se at (0.232, 0.750, 0.017) and Se at (0.413, 0.750, 0.663).

The crystal system is monoclinic. The value obtained for the calculated total energy is -48.5 eV per cell. The uncorrected formation energy comes out at -0.305 eV per atom.

***

Entry 9:
Y4Sb2O | PBE | relaxed

The structure belongs to space group P2_1/m (No. 11); the cell edges are 6.624, 6.651 and 8.694 Å and the angles 90.00°, 108.28° and 90.00°. The asymmetric unit holds Y at (0.022, 0.000, 0.288), Y at (0.350, 0.250, 0.061), Y at (0.420, 0.250, 0.641), Sb at (0.207, 0.750, 0.035), Sb at (0.306, 0.750, 0.590) and O at (0.209, 0.250, 0.794).

The crystal system is monoclinic. The value obtained for the calculated total energy is -98.6 eV per cell. The uncorrected formation energy comes out at -1.460 eV per atom.

***

Entry 10:
Nd3Dy2Hg7 | PBE | relaxed

The structure belongs to space group Cmmm (No. 65); the cell edges are 5.205, 23.116 and 5.605 Å and the angles 90.00°, 90.00° and 90.00°. The asymmetric unit holds Nd at (0.000, 0.000, 0.000), Nd at (0.000, 0.171, 0.000), Dy at (0.000, 0.358, 0.500), Hg at (0.000, 0.075, 0.500), Hg at (0.000, 0.224, 0.500), Hg at (0.000, 0.412, 0.000) and Hg at (0.000, 0.500, 0.500).

The value obtained for the formation energy is -0.333 eV per atom. The crystal system is orthorhombic. The value obtained for the calculated total energy is -59.2 eV per cell.

***

Entry 11:
TiBeN2F | PBE | relaxed

The structure belongs to space group P4/mmm (No. 123); the cell edges are 3.926, 3.926 and 3.792 Å and the angles 90.00°, 90.00° and 90.00°. The asymmetric unit holds Ti at (0.000, 0.000, 0.000), Be at (0.500, 0.500, 0.500), N at (0.000, 0.500, 0.000) and F at (0.000, 0.000, 0.500).

The crystal system is tetragonal. The value obtained for the calculated total energy is -31.2 eV per cell. The uncorrected formation energy comes out at -0.221 eV per atom.

***

Entry 12:
Sm3Ho6Er2Th | PBE | relaxed

The structure belongs to space group C2/m (No. 12); the cell edges are 6.157, 10.662 and 11.763 Å and the angles 90.00°, 100.08° and 90.00°. The asymmetric unit holds Sm at (0.000, 0.000, 0.000), Sm at (0.000, 0.333, 0.000), Ho at (0.247, 0.500, 0.253), Ho at (0.248, 0.335, 0.747), Er at (0.000, 0.167, 0.500) and Th at (0.000, 0.500, 0.500).

The value obtained for the formation energy is 0.020 eV per atom. The crystal system is monoclinic. The value obtained for the calculated total energy is -115.9 eV per cell.

***

Entry 13:
Pm2FeSi3 | PBE | relaxed

The structure belongs to space group Fmmm (No. 69); the cell edges are 8.158, 8.338 and 14.104 Å and the angles 90.00°, 90.00° and 90.00°. The asymmetric unit holds Pm at (0.000, 0.249, 0.000), Pm at (0.250, 0.250, 0.250), Fe at (0.000, 0.000, 0.334), Si at (0.000, 0.000, 0.172) and Si at (0.243, 0.000, 0.414).

The crystal system is orthorhombic. The value obtained for the calculated total energy is -303.9 eV per cell. The uncorrected formation energy comes out at -0.625 eV per atom.

***

Entry 14:
ZrSiAs2 | PBE | relaxed

The structure belongs to space group C2/m (No. 12); the cell edges are 10.306, 3.645 and 4.178 Å and the angles 90.00°, 93.05° and 90.00°. The asymmetric unit holds Zr at (0.000, 0.000, 0.000), Si at (0.000, 0.500, 0.500) and As at (0.235, 0.500, 0.783).

The crystal system is monoclinic. The value obtained for the calculated total energy is -48.2 eV per cell. The uncorrected formation energy comes out at -0.209 eV per atom.

***

Entry 15:
LaMgSc2 | PBE | relaxed

The structure belongs to space group R3m (No. 160, hexagonal axes); the cell edges are 3.3830, 3.3830 and 32.8589 Å and the angles 90.00°, 90.00° and 120.00°. The asymmetric unit holds La at (0.0000, 0.0000, 0.0000), Mg at (0.0000, 0.0000, 0.1660), Sc at (0.0000, 0.0000, 0.5765) and Sc at (0.0000, 0.0000, 0.7557).

The value obtained for the formation energy is 0.097 eV per atom. The crystal system is trigonal. The value obtained for the calculated total energy is -56.4 eV per cell.

***

Entry 16:
Sr3HfNi | PBE | relaxed

The structure belongs to space group Pm-3m (No. 221); the cell edges are 6.126, 6.126 and 6.126 Å and the angles 90.00°, 90.00° and 90.00°. The asymmetric unit holds Sr at (0.000, 0.000, 0.500), Hf at (0.000, 0.000, 0.000) and Ni at (0.500, 0.500, 0.500).

The value obtained for the formation energy is 1.411 eV per atom. The crystal system is cubic. The value obtained for the calculated total energy is -13.7 eV per cell.

***

Entry 17:
Ac4B3Pd16 | PBE | relaxed

The structure belongs to space group P4/mmm (No. 123); the cell edges are 5.907, 5.907 and 11.757 Å and the angles 90.00°, 90.00° and 90.00°. The asymmetric unit holds Ac at (0.000, 0.500, 0.200), B at (0.000, 0.000, 0.000), B at (0.000, 0.500, 0.500), Pd at (0.000, 0.000, 0.192), Pd at (0.251, 0.251, 0.389), Pd at (0.257, 0.257, 0.000) and Pd at (0.500, 0.500, 0.190).

The value obtained for the formation energy is -0.419 eV per atom. The crystal system is tetragonal. The value obtained for the calculated total energy is -129.2 eV per cell.

***

Entry 18:
TaMoW2 | PBE | relaxed

The structure belongs to space group P4mm (No. 99); the cell edges are 3.206, 3.206 and 6.430 Å and the angles 90.00°, 90.00° and 90.00°. The asymmetric unit holds Ta at (0.000, 0.000, 0.000), Mo at (0.500, 0.500, 0.747), W at (0.000, 0.000, 0.502) and W at (0.500, 0.500, 0.257).

The value obtained for the formation energy is -0.112 eV per atom. The crystal system is tetragonal. The value obtained for the calculated total energy is -49.0 eV per cell.

***

Entry 19:
TbTmPu | PBE | relaxed

The structure belongs to space group Pmmn (No. 59, origin choice 2); the cell edges are 3.342, 5.530 and 9.629 Å and the angles 90.00°, 90.00° and 90.00°. The asymmetric unit holds Tb at (0.250, 0.250, 0.102), Tm at (0.250, 0.750, 0.564) and Pu at (0.250, 0.250, 0.754).

The value obtained for the formation energy is 0.154 eV per atom. The crystal system is orthorhombic. The value obtained for the calculated total energy is -45.9 eV per cell.

***

Entry 20:
CsCaReC2 | PBE | relaxed

The structure belongs to space group P4/mmm (No. 123); the cell edges are 4.213, 4.213 and 5.439 Å and the angles 90.00°, 90.00° and 90.00°. The asymmetric unit holds Cs at (0.000, 0.000, 0.000), Ca at (0.500, 0.500, 0.000), Re at (0.000, 0.000, 0.500) and C at (0.000, 0.500, 0.500).

The value obtained for the formation energy is 1.681 eV per atom. The crystal system is tetragonal. The value obtained for the calculated total energy is -25.3 eV per cell.